1.
VASP calculation (PBE) on an optimized crystal structure of TaRe2P.

Properties
SG   R-3m, No. 166
DOS(E_F)   2.8 states/eV/cell
Excess energy over the best structure of this formula in the dataset   0.271 eV/atom

Cell: 8.4492 8.4492 8.4492 Å, 19.83 19.83 19.83°
Atoms (fractional coordinates):
Ta (0.5000, 0.5000, 0.5000)
Re (0.7402, 0.7402, 0.7402)
Re (0.2598, 0.2598, 0.2598)
P (0.0000, 0.0000, 0.0000)

=====

2.
VASP calculation (PBE) on an optimized crystal structure of TaReP.

Properties
SG   P-62m, No. 189
DOS(E_F)   3.6 states/eV/cell
Excess energy over the best structure of this formula in the dataset   0.111 eV/atom

Cell: 7.1048 7.1048 3.1976 Å, 90.00 90.00 120.00°
Atoms (fractional coordinates):
Ta (0.6201, 0.0000, 0.5000)
Ta (0.0000, 0.6201, 0.5000)
Ta (0.3799, 0.3799, 0.5000)
Re (0.3333, 0.6667, 0.0000)
Re (0.6667, 0.3333, 0.0000)
Re (0.0000, 0.0000, 0.5000)
P (0.2765, 0.0000, 0.0000)
P (0.0000, 0.2765, 0.0000)
P (0.7235, 0.7235, 0.0000)

=====

3.
VASP calculation (PBE) on an optimized crystal structure of Ta2ReP.

Properties
SG   P2/m, No. 10
DOS(E_F)   1.4 states/eV/cell
Excess energy over the best structure of this formula in the dataset   0.135 eV/atom

Cell: 3.2950 3.1547 6.2802 Å, 80.27 90.00 90.00°
Atoms (fractional coordinates):
Ta (0.0000, 0.9239, 0.7601)
Ta (0.0000, 0.0761, 0.2399)
Re (0.5000, 0.5000, 0.5000)
P (0.5000, 0.5000, 0.0000)

=====

4.
VASP calculation (PBE) on an optimized crystal structure of TaRe2P.

Properties
SG   P4mm, No. 99
DOS(E_F)   3.5 states/eV/cell
Excess energy over the best structure of this formula in the dataset   0.065 eV/atom

Cell: 2.8887 2.8887 7.1347 Å, 90.00 90.00 90.00°
Atoms (fractional coordinates):
Ta (0.0000, 0.0000, 0.5253)
Re (0.0000, 0.0000, 0.9736)
Re (0.5000, 0.5000, 0.2288)
P (0.5000, 0.5000, 0.7723)

=====

5.
VASP calculation (PBE) on an optimized crystal structure of TaReP2.

Properties
SG   Pmm2, No. 25
DOS(E_F)   2.4 states/eV/cell
Excess energy over the best structure of this formula in the dataset   0.209 eV/atom

Cell: 4.5807 3.0756 4.1723 Å, 89.93 90.00 90.00°
Atoms (fractional coordinates):
P (0.0000, 0.8758, 0.0113)
P (0.5000, 0.3747, 0.2533)
Re (0.0000, 0.3747, 0.4869)
Ta (0.5000, 0.8748, 0.7485)

=====

6.
VASP calculation (PBE) on an optimized crystal structure of TaRe4P.

Properties
SG   F-43m, No. 216
DOS(E_F)   4.7 states/eV/cell

Cell: 5.1931 5.1931 5.1931 Å, 60.00 60.00 60.00°
Atoms (fractional coordinates):
Ta (0.7500, 0.7500, 0.7500)
Re (0.8766, 0.3745, 0.3745)
Re (0.3745, 0.3745, 0.8766)
Re (0.3745, 0.8766, 0.3745)
Re (0.3745, 0.3745, 0.3745)
P (0.0000, 0.0000, 0.0000)

=====

7.
VASP calculation (PBE) on an optimized crystal structure of TaReP.

Properties
SG   P3m1, No. 156
DOS(E_F)   2.4 states/eV/cell
Excess energy over the best structure of this formula in the dataset   0.258 eV/atom

Cell: 2.9439 2.9439 6.1455 Å, 90.00 90.00 120.00°
Atoms (fractional coordinates):
Ta (0.3333, 0.6667, 0.6788)
Re (0.6667, 0.3333, 0.3009)
P (0.0000, 0.0000, 0.0202)

=====

8.
VASP calculation (PBE) on an optimized crystal structure of TaRe3P.

Properties
SG   Pm-3m, No. 221
DOS(E_F)   2.1 states/eV/cell
Excess energy over the best structure of this formula in the dataset   0.000 eV/atom

Cell: 4.3564 4.3564 4.3564 Å, 90.00 90.00 90.00°
Atoms (fractional coordinates):
Re (0.0000, 0.5000, 0.0000)
Re (0.0000, 0.0000, 0.5000)
Re (0.5000, 0.0000, 0.0000)
P (0.0000, 0.0000, 0.0000)
Ta (0.5000, 0.5000, 0.5000)

=====

9.
VASP calculation (PBE) on an optimized crystal structure of TaRe3P.

Properties
SG   Pm-3m, No. 221
DOS(E_F)   6.7 states/eV/cell
Excess energy over the best structure of this formula in the dataset   2.093 eV/atom

Cell: 4.7682 4.7682 4.7682 Å, 90.00 90.00 90.00°
Atoms (fractional coordinates):
Re (0.0000, 0.5000, 0.0000)
Re (0.0000, 0.0000, 0.5000)
Re (0.5000, 0.0000, 0.0000)
P (0.5000, 0.5000, 0.5000)
Ta (0.0000, 0.0000, 0.0000)

=====

10.
VASP calculation (PBE) on an optimized crystal structure of TaReP4.

Properties
SG   F-43m, No. 216
DOS(E_F)   3.1 states/eV/cell

Cell: 4.9267 4.9267 4.9267 Å, 60.00 60.00 60.00°
Atoms (fractional coordinates):
Ta (0.0000, 0.0000, 0.0000)
Re (0.2500, 0.2500, 0.2500)
P (0.6252, 0.6252, 0.1244)
P (0.6252, 0.1244, 0.6252)
P (0.6252, 0.6252, 0.6252)
P (0.1244, 0.6252, 0.6252)

=====

11.
VASP calculation (PBE) on an optimized crystal structure of TaRe2P.

Properties
SG   P4/mmm, No. 123
DOS(E_F)   2.6 states/eV/cell
Excess energy over the best structure of this formula in the dataset   0.122 eV/atom

Cell: 2.9449 2.9449 6.8463 Å, 90.00 90.00 90.00°
Atoms (fractional coordinates):
Ta (0.5000, 0.5000, 0.0000)
Re (0.0000, 0.0000, 0.7085)
Re (0.0000, 0.0000, 0.2915)
P (0.5000, 0.5000, 0.5000)

=====

12.
VASP calculation (PBE) on an optimized crystal structure of Ta2ReP.

Properties
SG   Cmmm, No. 65
DOS(E_F)   1.7 states/eV/cell
Excess energy over the best structure of this formula in the dataset   0.256 eV/atom

Cell: 4.5565 4.5565 3.1654 Å, 90.00 90.00 104.28°
Atoms (fractional coordinates):
Ta (0.0000, 0.5000, 0.0000)
Ta (0.5000, 0.0000, 0.0000)
Re (0.0000, 0.0000, 0.5000)
P (0.5000, 0.5000, 0.5000)

=====

13.
VASP calculation (PBE) on an optimized crystal structure of Ta2ReP.

Properties
SG   P4mm, No. 99
DOS(E_F)   3.1 states/eV/cell
Excess energy over the best structure of this formula in the dataset   0.322 eV/atom

Cell: 3.2641 3.2643 6.0737 Å, 90.00 90.00 90.00°
Atoms (fractional coordinates):
Ta (0.0000, 0.0000, 0.9771)
Ta (0.5000, 0.5000, 0.2895)
Re (0.5000, 0.5000, 0.7552)
P (0.0000, 0.0000, 0.4782)

=====

14.
VASP calculation (PBE) on an optimized crystal structure of TaReP.

Properties
SG   I4mm, No. 107
DOS(E_F)   2.5 states/eV/cell
Excess energy over the best structure of this formula in the dataset   0.019 eV/atom

Cell: 5.5006 5.5006 5.5006 Å, 148.74 148.74 44.79°
Atoms (fractional coordinates):
Ta (0.3414, 0.3414, 0.0000)
Re (0.6399, 0.6399, 0.0000)
P (0.0187, 0.0187, 0.0000)

=====

15.
VASP calculation (PBE) on an optimized crystal structure of Ta2ReP.

Properties
SG   F-43m, No. 216
DOS(E_F)   5.3 states/eV/cell
Excess energy over the best structure of this formula in the dataset   0.613 eV/atom

Cell: 4.4607 4.4607 4.4607 Å, 60.00 60.00 60.00°
Atoms (fractional coordinates):
Ta (0.0000, 0.0000, 0.0000)
Ta (0.7500, 0.7500, 0.7500)
Re (0.2500, 0.2500, 0.2500)
P (0.5000, 0.5000, 0.5000)

=====

Which E belongs to each record? In order, -41.883; -90.701; -42.776; -42.706; -36.326; -64.039; -29.792; -51.820; -41.355; -41.609; -42.481; -42.296; -42.030; -30.509; -40.867 eV per cell.
Which V belongs to each record? In order, 60.7; 139.8; 64.3; 59.5; 58.8; 99.0; 46.1; 82.7; 108.4; 84.6; 59.4; 63.7; 64.7; 44.7; 62.8 Å³ per cell.
Which energy of formation belongs to each record? In order, 7; -17; -29; -13; -29; 48; -3; 54; 256; 70; -8; -18; -11; -26; 17 kJ per mole of atoms.